## GdPuCuAg (GGA-PBE)

Data for a relaxed GdPuCuAg crystal. Values from VASP.

## Properties
The formation energy comes out at -0.005 eV/atom. The calculation puts the magnetic moment at 12.89 μB/f.u. The space group is F-43m, No. 216. Its total energy is -8.845 eV/atom.

The structure in Quantum ESPRESSO input format:
```
&SYSTEM
  ibrav = 0, nat = 4, ntyp = 4
/
ATOMIC_SPECIES
Gd 157.25 Gd.upf
Pu 244.00 Pu.upf
Cu 63.55 Cu.upf
Ag 107.87 Ag.upf
ATOMIC_POSITIONS crystal
Gd 0.000 0.000 0.000
Pu 0.500 0.500 0.500
Cu 0.250 0.250 0.250
Ag 0.750 0.750 0.750
CELL_PARAMETERS angstrom
0.000 3.605 3.605
3.605 0.000 3.605
3.605 3.605 0.000
```